## MgBiSe2Cl (PBE-GGA)

Data for a relaxed MgBiSe2Cl crystal.

Output
- symmetry = P4/mmm (123)
- E_form (uncorrected) (eV per atom) = -0.102
- raw total energy (eV/atom) = -2.960

Cell: 5.595 5.214 5.595 Å, 90.00 90.00 90.00°
Element x y z (fractional)
1 Mg 0.500 0.500 0.500
2 Se 0.000 0.000 0.500
3 Se 0.500 0.000 0.000
4 Cl 0.000 0.500 0.000
5 Bi 0.000 0.000 0.000


## SrMgBi2Cl (PBE-GGA)

Data for a relaxed SrMgBi2Cl crystal.

Output
- symmetry = P4/mmm (123)
- E_form (uncorrected) (eV per atom) = -0.156
- raw total energy (eV/atom) = -2.733

Cell: 5.782 5.337 5.782 Å, 90.00 90.00 90.00°
Element x y z (fractional)
1 Bi 0.500 0.000 0.000
2 Bi 0.000 0.000 0.500
3 Cl 0.000 0.000 0.000
4 Sr 0.000 0.500 0.000
5 Mg 0.500 0.500 0.500


## MgBiTe2Cl (PBE-GGA)

Data for a relaxed MgBiTe2Cl crystal.

Output
- symmetry = P4/mmm (123)
- E_form (uncorrected) (eV per atom) = 0.508
- raw total energy (eV/atom) = -2.213

Cell: 5.598 5.304 5.598 Å, 90.00 90.00 90.00°
Element x y z (fractional)
1 Te 0.000 0.000 0.500
2 Te 0.500 0.000 0.000
3 Bi 0.000 0.500 0.000
4 Cl 0.000 0.000 0.000
5 Mg 0.500 0.500 0.500


## MgTlBiCl6 (PBE-GGA)

Data for a relaxed MgTlBiCl6 crystal.

Output
- symmetry = P-31c (163)
- E_form (uncorrected) (eV per atom) = -1.308
- raw total energy (eV/atom) = -3.410

Cell: 6.894 6.894 14.084 Å, 90.00 90.00 120.00°
Element x y z (fractional)
1 Cl 0.382 0.022 0.644
2 Cl 0.978 0.618 0.856
3 Cl 0.360 0.382 0.356
4 Cl 0.640 0.022 0.856
5 Cl 0.978 0.360 0.644
6 Cl 0.382 0.360 0.856
7 Cl 0.360 0.978 0.144
8 Cl 0.022 0.640 0.356
9 Cl 0.618 0.640 0.144
10 Cl 0.022 0.382 0.144
11 Cl 0.618 0.978 0.356
12 Cl 0.640 0.618 0.644
13 Tl 0.000 0.000 0.500
14 Tl 0.000 0.000 0.000
15 Mg 0.667 0.333 0.750
16 Mg 0.333 0.667 0.250
17 Bi 0.333 0.667 0.750
18 Bi 0.667 0.333 0.250


## MnBiCl2 (PBE-GGA)

Data for a relaxed MnBiCl2 crystal.

Output
- symmetry = I-42d (122)
- E_form (uncorrected) (eV per atom) = 0.281
- energy relative to the lowest polymorph listed for this composition (kJ per mole of atoms) = 85.9
- raw total energy (eV/atom) = -3.905

Cell: 6.660 6.660 6.651 Å, 59.95 59.95 90.00°
Element x y z (fractional)
1 Cl 0.375 0.529 0.750
2 Cl 0.875 0.721 0.750
3 Cl 0.471 0.125 0.250
4 Cl 0.279 0.625 0.250
5 Bi 0.000 0.000 0.000
6 Bi 0.750 0.250 0.500
7 Mn 0.500 0.500 0.000
8 Mn 0.250 0.750 0.500


## Mn2BiCl (PBE-GGA)

Data for a relaxed Mn2BiCl crystal.

Output
- symmetry = I-42d (122)
- E_form (uncorrected) (eV per atom) = 0.869
- energy relative to the lowest polymorph listed for this composition (kJ per mole of atoms) = 47.6
- raw total energy (eV/atom) = -5.148

Cell: 5.723 5.723 6.324 Å, 63.10 63.10 90.00°
Element x y z (fractional)
1 Mn 0.553 0.125 0.250
2 Mn 0.197 0.625 0.250
3 Mn 0.875 0.803 0.750
4 Mn 0.375 0.447 0.750
5 Cl 0.250 0.750 0.500
6 Cl 0.500 0.500 0.000
7 Bi 0.750 0.250 0.500
8 Bi 0.000 0.000 0.000


raw total energy of number 1 (MgBiSe2Cl)? -2.960 eV/atom


Which of these has the lowest E_form (uncorrected)? MgTlBiCl6


Among the records above, which one has the highest E_form (uncorrected)? Mn2BiCl


What is the raw total energy in the second record? -2.733 eV/atom